Computed, not measured: a relaxed structure of AcPmCoIr at the GGA-PBE level of DFT.

Structure (POSCAR):
```
AcPmCoIr
1.0
-4.558 0.513 -2.191
-2.206 -3.992 -2.243
-4.090 -2.160 2.107
Ac Ir Co Pm
1 1 1 1
Direct
0.750 0.750 0.750
0.000 0.000 0.000
0.500 0.500 0.500
0.250 0.250 0.250
```

## Properties
Formation energy (kJ/mol of formula units): -76.0
Symmetry: F-43m
Total DFT energy (no corrections) (eV per atom): -6.4035

Computed, not measured: a relaxed structure of Ac6CoIrPt2 at the GGA-PBE level of DFT.

Structure (POSCAR):
```
Ac6CoIrPt2
1.0
5.967 0.000 0.000
0.000 7.883 0.000
0.000 0.000 7.883
Ac Co Ir Pt
6 1 1 2
Direct
0.717 0.245 0.245
0.717 0.245 0.755
0.165 0.500 0.500
0.183 0.000 0.000
0.717 0.755 0.755
0.717 0.755 0.245
0.650 0.000 0.000
0.640 0.500 0.500
0.970 0.500 0.000
0.970 0.000 0.500
```

## Properties
Formation energy (kJ/mol of formula units): -306.0
Symmetry: P4mm
Total DFT energy (no corrections) (eV per atom): -5.5871

Computed, not measured: a relaxed structure of Ac8CoIrPt2 at the GGA-PBE level of DFT.

Structure (POSCAR):
```
Ac8CoIrPt2
1.0
7.198 -0.016 -0.004
-0.002 7.086 -0.009
0.005 0.011 8.816
Ac Co Ir Pt
8 1 1 2
Direct
0.172 0.783 0.244
0.682 0.738 0.000
0.828 0.217 0.244
0.828 0.217 0.756
0.318 0.262 0.000
0.172 0.783 0.756
0.676 0.734 0.500
0.324 0.266 0.500
0.000 0.000 0.000
0.000 0.000 0.500
0.500 0.500 0.752
0.500 0.500 0.248
```

## Properties
Formation energy (kJ/mol of formula units): -633.0
Symmetry: P2/m
Total DFT energy (no corrections) (eV per atom): -5.6230

Computed, not measured: a relaxed structure of AcPuCoIr at the GGA-PBE level of DFT.

Structure (POSCAR):
```
AcPuCoIr
1.0
5.014 0.000 0.000
2.507 4.343 0.000
2.507 1.448 4.094
Ac Ir Co Pu
1 1 1 1
Direct
0.250 0.250 0.250
0.000 0.000 0.000
0.500 0.500 0.500
0.750 0.750 0.750
```

## Properties
Formation energy (kJ/mol of formula units): -29.6
Symmetry: F-43m
Total DFT energy (no corrections) (eV per atom): -8.6784

Computed, not measured: a relaxed structure of Ac2CoSb4Ir3 at the GGA-PBE level of DFT.

Structure (POSCAR):
```
Ac2CoSb4Ir3
1.0
-0.638 1.623 4.306
0.051 -4.344 1.645
10.434 0.619 1.312
Ac Co Sb Ir
2 1 4 3
Direct
0.500 0.000 0.257
0.000 0.500 0.743
0.500 0.500 0.500
0.500 0.500 0.000
0.000 0.000 0.000
0.500 0.000 0.625
0.000 0.500 0.375
0.000 0.000 0.500
0.500 0.000 0.877
0.000 0.500 0.123
```

## Properties
Symmetry: P-4m2
Total DFT energy (no corrections) (eV per atom): -6.4540

Computed, not measured: a relaxed structure of AcCoSi2Ir at the GGA-PBE level of DFT.

Structure (POSCAR):
```
AcCoSi2Ir
1.0
-0.086 2.066 -3.540
-2.462 -2.857 -1.607
-3.060 3.163 4.293
Ac Co Si Ir
1 1 2 1
Direct
0.000 0.000 0.000
0.250 0.750 0.500
0.640 0.640 0.280
0.360 0.360 0.720
0.750 0.250 0.500
```

## Properties
Symmetry: I-4m2
Total DFT energy (no corrections) (eV per atom): -6.9694

Computed, not measured: a relaxed structure of Ac2CoSiIr at the GGA-PBE level of DFT.

Structure (POSCAR):
```
Ac2CoSiIr
1.0
-0.374 -1.692 -3.842
3.479 -2.284 0.668
-7.868 -10.417 5.354
Ac Co Si Ir
4 2 2 2
Direct
0.000 0.500 0.672
0.000 0.500 0.101
0.500 0.000 0.899
0.500 0.000 0.328
0.000 0.000 0.500
0.500 0.500 0.500
0.500 0.000 0.575
0.000 0.500 0.425
0.500 0.000 0.120
0.000 0.500 0.880
```

## Properties
Symmetry: P4/nmm
Total DFT energy (no corrections) (eV per atom): -6.4972

Computed, not measured: a relaxed structure of Ac2CoSn4Ir3 at the GGA-PBE level of DFT.

Structure (POSCAR):
```
Ac2CoSn4Ir3
1.0
-2.884 2.016 2.992
-0.133 -3.887 2.492
8.371 3.413 5.769
Ac Co Sn Ir
2 1 4 3
Direct
0.500 0.000 0.257
0.000 0.500 0.743
0.500 0.500 0.500
0.500 0.500 0.000
0.000 0.000 0.000
0.500 0.000 0.620
0.000 0.500 0.380
0.000 0.000 0.500
0.500 0.000 0.868
0.000 0.500 0.132
```

## Properties
Formation energy (kJ/mol of formula units): -503.6
Symmetry: P-4m2
Total DFT energy (no corrections) (eV per atom): -6.3137